TlIn2HPb | PBE | optimized geometry

a = 4.9152 Å, b = 4.9152 Å, c = 5.0294 Å
α = 90.00°, β = 90.00°, γ = 90.00°
Space group P4/mmm (No. 123)
Symmetry-distinct sites (fractional):
Tl  0.0000  0.0000  0.0000 (multiplicity 1)
In  0.0000  0.5000  0.5000 (multiplicity 2)
H  0.0000  0.0000  0.5000 (multiplicity 1)
Pb  0.5000  0.5000  0.0000 (multiplicity 1)

Output
Crystal system: tetragonal
Energy above the lowest structure with this stoichiometry: 0 meV per atom

---

HoGePt3 | PBE | optimized geometry

a = 5.6114 Å, b = 7.0663 Å, c = 5.0546 Å
α = 90.00°, β = 90.00°, γ = 90.00°
Space group Pbam (No. 55)
Symmetry-distinct sites (fractional):
Ho  0.0000  0.0000  0.0000 (multiplicity 2)
Ge  0.0000  0.5000  0.5000 (multiplicity 2)
Pt  0.0000  0.5000  0.0000 (multiplicity 2)
Pt  0.1228  0.1725  0.5000 (multiplicity 4)

Output
Crystal system: orthorhombic
Energy above the lowest structure with this stoichiometry: 226 meV per atom
Energy of formation from the pure elements: -0.624 eV per atom

---

LaGd2Ru | PBE | optimized geometry

a = 4.7233 Å, b = 4.7233 Å, c = 16.8217 Å
α = 90.00°, β = 90.00°, γ = 120.00°
Space group R-3m (No. 166, hexagonal axes)
Symmetry-distinct sites (fractional):
La  0.0000  0.0000  0.0000 (multiplicity 3)
Gd  0.0000  0.0000  0.2241 (multiplicity 6)
Ru  0.0000  0.0000  0.5000 (multiplicity 3)

Output
Crystal system: trigonal
Energy above the lowest structure with this stoichiometry: 208 meV per atom
Energy of formation from the pure elements: 0.030 eV per atom

---

Nd4TmRu | PBE | optimized geometry

a = 17.4836 Å, b = 7.5502 Å, c = 6.0839 Å
α = 90.00°, β = 110.33°, γ = 90.00°
Space group C2/m (No. 12)
Symmetry-distinct sites (fractional):
Nd  0.0000  0.2075  0.0000 (multiplicity 4)
Nd  0.1165  0.2497  0.6166 (multiplicity 8)
Nd  0.1733  0.5000  0.1734 (multiplicity 4)
Tm  0.1985  0.0000  0.1986 (multiplicity 4)
Ru  0.9997  0.5000  0.2617 (multiplicity 4)

Output
Crystal system: monoclinic
Energy of formation from the pure elements: -0.032 eV per atom

---

Pu2FeH12Rh3 | PBE | optimized geometry

a = 6.1089 Å, b = 6.1089 Å, c = 14.1565 Å
α = 90.00°, β = 90.00°, γ = 120.00°
Space group R-3m (No. 166, hexagonal axes)
Symmetry-distinct sites (fractional):
Pu  0.0000  0.0000  0.1292 (multiplicity 6)
Fe  0.0000  0.0000  0.5000 (multiplicity 3)
H  0.0430  0.5215  0.3695 (multiplicity 18)
H  0.0473  0.5236  0.1210 (multiplicity 18)
Rh  0.0000  0.5000  0.0000 (multiplicity 9)

Output
Crystal system: trigonal

---

TlGeTe3 | PBE | optimized geometry

a = 6.7986 Å, b = 6.5369 Å, c = 8.1182 Å
α = 90.00°, β = 98.60°, γ = 90.00°
Space group P2_1/m (No. 11)
Symmetry-distinct sites (fractional):
Tl  0.1450  0.2500  0.3626 (multiplicity 2)
Ge  0.3681  0.7500  0.0045 (multiplicity 2)
Te  0.0142  0.2500  0.9633 (multiplicity 2)
Te  0.4379  0.5021  0.7382 (multiplicity 4)

Output
Energy relative to the elements, uncorrected: -0.0535 eV per atom
Crystal system: monoclinic
Energy above the lowest structure with this stoichiometry: 0 meV per atom

---

In states/eV per cell, the Fermi-level density of states values for the records above are, in order, 2.0 2.9 12.9 33.4 73.1 4.9.
In eV per atom, the total energy values for the records above are, in order, -2.7922 -6.0879 -10.5613 -5.5018 -5.6863 -3.3352.